w) {"formula": "Na2F3", "functional": "GGA-PBE", "state": "optimized geometry", "lattice_angstrom": [[-3.1493, 1.0337, 3.9995], [2.6502, -1.8477, 4.0678], [2.7923, 5.6449, 1.0439]], "species": ["Na", "Na", "Na", "Na", "F", "F", "F", "F", "F", "F"], "frac_coords": [[0.2913, 0.2913, 0.5020], [0.7087, 0.7087, 0.4980], [0.2914, 0.2914, 0.0018], [0.7086, 0.7086, 0.9982], [0.5008, 0.0005, 0.7500], [0.0005, 0.5008, 0.7500], [0.5002, 0.5002, 0.7500], [0.4998, 0.4998, 0.2500], [0.4992, 0.9995, 0.2500], [0.9995, 0.4992, 0.2500]], "total_magnetization_mub_per_fu": 1.00}



x) {"formula": "Na2F3", "functional": "GGA-PBE", "state": "optimized geometry", "lattice_angstrom": [[6.0857, 0.0000, 0.0000], [3.0429, 5.2704, 0.0000], [3.0429, 1.7568, 4.5367]], "species": ["Na", "Na", "Na", "Na", "F", "F", "F", "F", "F", "F"], "frac_coords": [[0.8632, 0.8632, 0.4104], [0.3632, 0.3632, 0.9104], [0.1368, 0.1368, 0.5896], [0.6368, 0.6368, 0.0896], [0.0447, 0.7500, 0.7500], [0.7500, 0.4553, 0.7500], [0.4553, 0.0447, 0.7500], [0.2500, 0.5447, 0.2500], [0.5447, 0.9553, 0.2500], [0.9553, 0.2500, 0.2500]], "total_magnetization_mub_per_fu": 1.00}



Verdict on stability: w) comes out on top.



w) {"formula": "NaNb3F", "functional": "GGA-PBE", "state": "optimized geometry", "lattice_angstrom": [[4.4241, 0.0000, 0.0000], [0.0000, 4.4241, 0.0000], [0.0000, 0.0000, 4.4241]], "species": ["Na", "Nb", "Nb", "Nb", "F"], "frac_coords": [[0.5000, 0.5000, 0.5000], [0.0000, 0.5000, 0.0000], [0.0000, 0.0000, 0.5000], [0.5000, 0.0000, 0.0000], [0.0000, 0.0000, 0.0000]], "total_magnetization_mub_per_fu": 0.00}



x) {"formula": "NaNb3F", "functional": "GGA-PBE", "state": "optimized geometry", "lattice_angstrom": [[4.7517, 0.0000, 0.0000], [0.0000, 4.7517, 0.0000], [0.0000, 0.0000, 4.7517]], "species": ["Na", "Nb", "Nb", "Nb", "F"], "frac_coords": [[0.0000, 0.0000, 0.0000], [0.0000, 0.5000, 0.0000], [0.0000, 0.0000, 0.5000], [0.5000, 0.0000, 0.0000], [0.5000, 0.5000, 0.5000]], "total_magnetization_mub_per_fu": 0.00}



Verdict on stability: w) comes out on top.